# Rb2AcCd2O4 | Alexandria via LeMat-Bulk | PBE-GGA | relaxed
# **Volume**: 23.43 Å³/atom
# **Symmetry**: C2/m
# **Formation energy without anion corrections**: -1549.3 meV per atom
# **Density**: 5.41 g/cm3
data_Rb2AcCd2O4
_space_group_name_H-M_alt 'P 1'
_space_group_IT_number 1
_cell_length_a 8.236
_cell_length_b 8.236
_cell_length_c 7.059
_cell_angle_alpha 98.60
_cell_angle_beta 98.60
_cell_angle_gamma 26.47
loop_
_space_group_symop_operation_xyz
'x,y,z'
loop_
_atom_site_label
_atom_site_type_symbol
_atom_site_fract_x
_atom_site_fract_y
_atom_site_fract_z
Rb1 Rb 0.130 0.130 0.074
Rb2 Rb 0.870 0.870 0.926
Ac1 Ac 0.000 0.000 0.500
Cd1 Cd 0.317 0.317 0.452
Cd2 Cd 0.683 0.683 0.548
O1 O 0.151 0.151 0.697
O2 O 0.439 0.439 0.673
O3 O 0.561 0.561 0.327
O4 O 0.849 0.849 0.303